No. 1
Tb3Ag2Hg4: relaxed, PBE.

Summary:
DFT total energy in eV/atom: -2.6874
ΔE_f in eV/atom: -0.38
DOS at the Fermi energy in states/eV per cell: 4.6
Magnetization in μB per cell: 0.00
Symmetry: C2/m, No. 12

Cell and atoms, written as POSCAR:
```
Tb3Ag2Hg4
1.0
5.453 -2.463 0.000
5.453 2.463 0.000
-4.636 0.000 7.871
Tb Ag Hg
3 2 4
direct
0.000 0.000 0.000
0.333 0.333 0.335
0.667 0.667 0.665
0.391 0.391 0.722
0.609 0.609 0.278
0.060 0.060 0.390
0.286 0.286 0.946
0.714 0.714 0.054
0.940 0.940 0.610
```

No. 2
Tb3AgHg3: relaxed, PBE.

Summary:
DFT total energy in eV/atom: -2.7903
ΔE_f in eV/atom: -0.27
DOS at the Fermi energy in states/eV per cell: 11.8
Magnetization in μB per cell: 0.60
Symmetry: C2/m, No. 12

Cell and atoms, written as POSCAR:
```
Tb3AgHg3
1.0
5.083 -5.015 0.000
5.083 5.015 0.000
-0.004 0.000 7.310
Tb Ag Hg
6 2 6
direct
0.001 0.001 0.246
0.003 0.498 0.757
0.498 0.003 0.757
0.502 0.997 0.243
0.997 0.502 0.243
0.999 0.999 0.754
0.249 0.249 0.005
0.751 0.751 0.995
0.267 0.733 0.500
0.277 0.277 0.494
0.332 0.668 0.000
0.668 0.332 0.000
0.723 0.723 0.506
0.733 0.267 0.500
```

No. 3
TbAg2Hg: relaxed, PBE.

Summary:
DFT total energy in eV/atom: -2.8752
ΔE_f in eV/atom: -0.22
DOS at the Fermi energy in states/eV per cell: 5.5
Magnetization in μB per cell: 0.00
Symmetry: Cmcm, No. 63

Cell and atoms, written as POSCAR:
```
TbAg2Hg
1.0
1.686 -10.956 0.000
1.686 10.956 0.000
0.000 0.000 4.814
Tb Ag Hg
2 4 2
direct
0.094 0.906 0.750
0.906 0.094 0.250
0.271 0.729 0.250
0.470 0.530 0.750
0.530 0.470 0.250
0.729 0.271 0.750
0.341 0.659 0.750
0.659 0.341 0.250
```

No. 4
Tb2Ag3Hg4: relaxed, PBE.

Summary:
DFT total energy in eV/atom: -2.3886
ΔE_f in eV/atom: -0.28
DOS at the Fermi energy in states/eV per cell: 4.2
ΔE to the lowest computed polymorph in meV/atom: 0
Magnetization in μB per cell: 0.00
Symmetry: C2/m, No. 12

Cell and atoms, written as POSCAR:
```
Tb2Ag3Hg4
1.0
4.283 -2.481 0.000
4.283 2.481 0.000
-0.045 0.000 9.415
Tb Ag Hg
2 3 4
direct
0.167 0.167 0.270
0.833 0.833 0.730
0.167 0.167 0.931
0.500 0.500 0.500
0.833 0.833 0.069
0.167 0.167 0.601
0.500 0.500 0.154
0.500 0.500 0.846
0.833 0.833 0.399
```

No. 5
Tb2AgHg5: relaxed, PBE.

Summary:
DFT total energy in eV/atom: -1.8814
ΔE_f in eV/atom: -0.18
DOS at the Fermi energy in states/eV per cell: 3.5
ΔE to the lowest computed polymorph in meV/atom: 58
Magnetization in μB per cell: 0.00
Symmetry: R-3m, No. 166

Cell and atoms, written as POSCAR:
```
Tb2AgHg5
1.0
2.371 1.369 10.779
-2.371 1.369 10.779
0.000 -2.738 10.779
Tb Ag Hg
2 1 5
direct
0.094 0.094 0.094
0.906 0.906 0.906
0.000 0.000 0.000
0.201 0.201 0.201
0.372 0.372 0.372
0.500 0.500 0.500
0.628 0.628 0.628
0.799 0.799 0.799
```

No. 6
Tb8AgHg2: relaxed, PBE.

Summary:
DFT total energy in eV/atom: -3.8747
ΔE_f in eV/atom: -0.19
DOS at the Fermi energy in states/eV per cell: 10.1
Magnetization in μB per cell: 0.00
Symmetry: C2/m, No. 12

Cell and atoms, written as POSCAR:
```
Tb8AgHg2
1.0
9.065 -2.603 0.000
9.065 2.603 0.000
-1.791 0.000 6.737
Tb Ag Hg
8 1 2
direct
0.024 0.024 0.268
0.198 0.198 0.813
0.338 0.338 0.532
0.410 0.410 0.044
0.590 0.590 0.956
0.662 0.662 0.468
0.802 0.802 0.187
0.976 0.976 0.732
0.500 0.500 0.500
0.188 0.188 0.230
0.812 0.812 0.770
```